An optimized crystal structure of Be3Pd. Source: Alexandria via LeMat-Bulk, functional PBE-GGA.

Output
**ΔH_f (0 K)**: -0.285 eV/atom
**Size of the total moment**: 0.0 μB/cell
**Calculated volume**: 39.9 Å³/cell
**Uncorrected energy**: -17.51 eV for the cell shown
**D(E_F)**: 1.29 states/eV/f.u.

The structure in CIF format:
```
data_Be3Pd
_chemical_formula_sum 'Be3 Pd1'
_cell_length_a 3.442
_cell_length_b 3.442
_cell_length_c 3.370
_cell_angle_alpha 90.00
_cell_angle_beta 90.00
_cell_angle_gamma 90.00
_symmetry_space_group_name_H-M 'P 4/m m m'
_symmetry_Int_Tables_number 123
_symmetry_space_group_name_Hall '-P 4 2'
loop_
_atom_site_label
_atom_site_type_symbol
_atom_site_fract_x
_atom_site_fract_y
_atom_site_fract_z
Be1 Be 0.000 0.000 0.000
Be2 Be 0.000 0.500 0.500
Pd1 Pd 0.500 0.500 0.000
```